(1)
{
  "formula": "NaYGe2S6",
  "functional": "GGA-PBE",
  "state": "optimized geometry",
  "lattice": [[-6.3872, -2.4199, -0.3615], [-2.1148, -1.2628, 8.2845], [-4.8611, 7.0894, 0.8993]],
  "species": ["Na", "Na", "Y", "Y", "Ge", "Ge", "Ge", "Ge", "S", "S", "S", "S", "S", "S", "S", "S", "S", "S", "S", "S"],
  "frac_coords": [[0.2500, 0.3166, 0.6834], [0.7500, 0.6834, 0.3166], [0.2500, 0.8834, 0.1166], [0.7500, 0.1166, 0.8834], [0.2471, 0.7961, 0.6234], [0.2529, 0.3766, 0.2039], [0.7529, 0.2039, 0.3766], [0.7471, 0.6234, 0.7961], [0.1580, 0.9721, 0.8085], [0.3420, 0.1915, 0.0279], [0.8420, 0.0279, 0.1915], [0.6580, 0.8085, 0.9721], [0.3612, 0.9073, 0.3884], [0.1388, 0.6116, 0.0927], [0.6388, 0.0927, 0.6116], [0.8612, 0.3884, 0.9073], [0.0015, 0.6739, 0.5843], [0.4985, 0.4157, 0.3261], [0.9985, 0.3261, 0.4157], [0.5015, 0.5843, 0.6739]],
  "sg": "C2/c, No. 15",
  "n_ef_per_ev_cell": 0.00,
  "magnetic_moment_mub_per_fu": 0.000
}


(2)
{
  "formula": "Na4Y3GeS8",
  "functional": "GGA-PBE",
  "state": "optimized geometry",
  "lattice": [[7.8788, 0.0000, 0.0000], [0.0000, 8.0710, 0.1271], [-3.9394, -3.9337, 5.5746]],
  "species": ["Na", "Na", "Na", "Na", "Y", "Y", "Y", "Ge", "S", "S", "S", "S", "S", "S", "S", "S"],
  "frac_coords": [[0.5000, 0.0000, 0.0000], [0.5000, 0.0000, 0.5000], [0.0000, 0.0000, 0.0000], [0.0000, 0.0000, 0.5000], [0.5000, 0.5000, 0.0000], [0.5000, 0.5000, 0.5000], [0.0000, 0.5000, 0.5000], [0.0000, 0.5000, 0.0000], [0.2338, 0.7209, 0.9872], [0.2339, 0.7210, 0.4678], [0.2569, 0.2708, 0.5138], [0.7534, 0.7209, 0.9872], [0.2466, 0.2791, 0.0128], [0.7431, 0.7292, 0.4862], [0.7661, 0.2790, 0.5322], [0.7662, 0.2791, 0.0128]],
  "sg": "R-3m, No. 166",
  "n_ef_per_ev_cell": 1.37,
  "magnetic_moment_mub_per_fu": 0.000
}


(3)
{
  "formula": "NaYb3GeS7",
  "functional": "GGA-PBE",
  "state": "optimized geometry",
  "lattice": [[4.9445, -8.5641, 0.0000], [4.9445, 8.5641, 0.0000], [0.0000, 0.0000, 5.9826]],
  "species": ["Na", "Na", "Yb", "Yb", "Yb", "Yb", "Yb", "Yb", "Ge", "Ge", "S", "S", "S", "S", "S", "S", "S", "S", "S", "S", "S", "S", "S", "S"],
  "frac_coords": [[0.0000, 0.0000, 0.4620], [0.0000, 0.0000, 0.9620], [0.7675, 0.1335, 0.7561], [0.3659, 0.2325, 0.7561], [0.8665, 0.6341, 0.7561], [0.2325, 0.8665, 0.2561], [0.6341, 0.7675, 0.2561], [0.1335, 0.3659, 0.2561], [0.6667, 0.3333, 0.3207], [0.3333, 0.6667, 0.8207], [0.6667, 0.3333, 0.9505], [0.3333, 0.6667, 0.4505], [0.7365, 0.8352, 0.7086], [0.0986, 0.2635, 0.7086], [0.1648, 0.9014, 0.7086], [0.2635, 0.1648, 0.2086], [0.9014, 0.7365, 0.2086], [0.8352, 0.0986, 0.2086], [0.5771, 0.4786, 0.4789], [0.9014, 0.4229, 0.4789], [0.5214, 0.0986, 0.4789], [0.4229, 0.5214, 0.9789], [0.0986, 0.5771, 0.9789], [0.4786, 0.9014, 0.9789]],
  "sg": "P6_3, No. 173",
  "n_ef_per_ev_cell": 76.30,
  "magnetic_moment_mub_per_fu": 1.865
}


no.,raw formation energy (eV per atom)
1,-0.8815
2,-1.5117
3,-1.1894